[1]
15
Lattice="9.3332 0.0000 4.2144 4.6666 6.8463 2.1072 1.8491 0.0000 8.3468" Properties=species:S:1:pos:R:3 comment="Er10Tm4Th | the Alexandria database | PBE | relaxed" m_tot_mub_per_fu=1.1 e_form_ev_per_atom=0.3980 n_ef_per_ev_atom=1.645 pbc="T T T"
Er 5.2652 0.6922 4.8144
Er 10.5610 4.6252 5.5282
Er 10.2578 3.4231 8.3878
Er 13.6090 6.1541 11.2200
Er 5.5912 3.4231 6.2806
Er 7.5357 4.6252 4.1622
Er 8.3132 2.2210 10.5062
Er 5.2880 2.2210 9.1401
Er 2.2400 0.6922 3.4484
Er 10.5838 6.1541 9.8539
Th 0.0000 0.0000 0.0000
Tm 11.9201 2.7953 10.9274
Tm 8.1829 1.7927 6.7620
Tm 7.6661 5.0536 7.9064
Tm 3.9289 4.0510 3.7410

=====

[2]
12
Lattice="-0.3022 2.9083 4.2155 2.0808 -1.6314 4.3964 7.8062 4.1308 0.8315" Properties=species:S:1:pos:R:3 comment="Tb2TmCu9 | the Alexandria database | PBE | relaxed" m_tot_mub_per_fu=0.0 e_form_ev_per_atom=-0.1981 n_ef_per_ev_atom=0.592 pbc="T T T"
Cu 3.6897 0.7279 6.0058
Cu 7.0856 2.4118 3.5280
Cu 2.4992 2.9958 5.9155
Cu 2.6501 1.5429 3.8095
Cu 8.9717 4.9716 6.5785
Cu 0.6131 0.4360 2.8649
Cu 5.8952 4.6797 3.4376
Cu 4.7924 2.7038 4.7217
Cu 6.9347 3.8647 5.6340
Tb 4.8131 2.8355 7.7541
Tb 4.7718 2.5721 1.6893
Tm 0.0000 0.0000 0.0000

=====

[3]
4
Lattice="4.9754 0.0000 0.0000 2.4877 4.3088 0.0000 2.4877 1.4363 4.0624" Properties=species:S:1:pos:R:3 comment="LaMgAgRh | the Alexandria database | PBE | relaxed" m_tot_mub_per_fu=0.0 e_form_ev_per_atom=-0.3489 n_ef_per_ev_atom=0.894 pbc="T T T"
Rh 4.9754 2.8725 2.0312
Mg 2.4877 1.4363 1.0156
La 7.4631 4.3088 3.0468
Ag 0.0000 0.0000 0.0000

=====

[4]
4
Lattice="-0.7370 3.4938 -0.5641 -3.9531 -0.4912 2.1224 1.9016 1.0348 3.9252" Properties=species:S:1:pos:R:3 comment="NiPtCl2 | the Alexandria database | PBE | relaxed" m_tot_mub_per_fu=0.5 de_polymorph_mev_per_atom=521 n_ef_per_ev_atom=0.905 pbc="T T T"
Cl -0.0232 0.0064 0.0699
Cl -1.0026 0.2654 2.9539
Pt -1.9072 2.1546 4.2537
Ni -0.8814 1.8828 1.2299

=====

[5]
9
Lattice="5.6778 -0.0004 0.0001 2.8386 4.9170 -0.0007 -0.0003 0.0012 5.1168" Properties=species:S:1:pos:R:3 comment="AcLaSeO6 | the Alexandria database | PBE | relaxed" m_tot_mub_per_fu=0.0 energy_ev_per_atom=-6.810 n_ef_per_ev_atom=0.000 pbc="T T T"
O 3.6313 0.3479 1.4944
O 3.5604 2.9723 1.4948
O 2.0464 0.3472 3.6220
O 2.1153 2.9713 3.6223
O 1.3234 1.5987 1.4944
O 4.3537 1.5995 3.6219
Ac -0.0001 0.0013 5.1163
La 5.6776 3.2784 2.5570
Se 2.8385 1.6395 2.5583

=====

[6]
4
Lattice="-7.4105 1.4549 5.2022 -8.9840 0.9050 1.6012 -8.0228 -2.2232 3.8453" Properties=species:S:1:pos:R:3 comment="La2ScRu | the Alexandria database | PBE | relaxed" m_tot_mub_per_fu=0.0 de_polymorph_mev_per_atom=79 e_form_ev_per_atom=-0.0579 n_ef_per_ev_atom=1.122 pbc="T T T"
La -19.0727 0.1068 8.3178
La -24.1332 0.1351 10.5248
Sc -5.3898 0.0302 2.3506
Ru -12.4475 0.0697 5.4285

=====

[7]
12
Lattice="-6.8418 0.1488 2.9366 4.8293 -5.2740 2.0781 3.4328 6.6739 4.5117" Properties=species:S:1:pos:R:3 comment="Cs3Tb2USe6 | the Alexandria database | PBE | relaxed" m_tot_mub_per_fu=3.0 energy_ev_per_atom=-5.207 n_ef_per_ev_atom=0.909 pbc="T T T"
U 0.0000 0.0000 0.0000
Cs 0.7102 0.7744 4.7632
Cs -3.1724 2.5783 5.0487
Cs 4.5927 -1.0296 4.4776
Se 2.1355 -0.8412 1.8515
Se -0.7152 2.3899 7.6748
Se -0.8211 -2.4779 4.4891
Se -1.7787 0.9775 2.1394
Se 3.1990 0.5713 7.3869
Se 2.2414 4.0267 5.0373
Tb 0.9380 -3.4659 2.3643
Tb -2.9504 -1.6592 2.6503

=====

[8]
5
Lattice="-5.4457 0.3475 0.6151 -0.5933 -4.4001 -2.7666 0.3336 -2.9497 4.6198" Properties=species:S:1:pos:R:3 comment="FeAgHgPb2 | the Alexandria database | PBE | relaxed" m_tot_mub_per_fu=3.2 e_form_ev_per_atom=0.9436 n_ef_per_ev_atom=1.320 pbc="T T T"
Pb -2.7228 0.1737 0.3076
Pb 0.1668 -1.4749 2.3099
Hg -0.2966 -2.2000 -1.3833
Fe -2.8527 -3.5012 1.2342
Ag 0.0000 0.0000 0.0000